[1]
ScNb2Os2: optimized geometry, PBE-GGA.

Results
The total moment is 0.00 μB per cell. The value obtained for the total energy is -98.869 eV/cell. The excess energy over the best structure of this formula in the dataset is 0.00 eV/f.u. The formation enthalpy at 0 K comes out at -9.72 kJ per mole of atoms.

```
data_ScNb2Os2
_chemical_formula_sum 'Sc2 Nb4 Os4'
_space_group_name_H-M_alt 'P 4/m b m'
_space_group_IT_number 127
_space_group_name_Hall '-P 4 2ab'
_cell_length_a 7.6176
_cell_length_b 7.6176
_cell_length_c 3.0886
_cell_angle_alpha 90.00
_cell_angle_beta 90.00
_cell_angle_gamma 90.00
loop_
_atom_site_label
_atom_site_fract_x
_atom_site_fract_y
_atom_site_fract_z
Sc1 0.0000 0.0000 0.0000
Nb1 0.1581 0.3419 0.5000
Os1 0.1387 0.6387 0.0000
```

[2]
Er3Tm3ScS8: optimized geometry, PBE-GGA.

Results
The total moment is 0.00 μB per cell. For the raw formation energy, the calculation gives -2.013 eV per atom. The value obtained for the total energy is -289.955 eV/cell.

```
data_Er3Tm3ScS8
_chemical_formula_sum 'Er9 Tm9 Sc3 S24'
_space_group_name_H-M_alt 'R -3 m'
_space_group_IT_number 166
_space_group_name_Hall '-R 3 2"'
_cell_length_a 7.6606
_cell_length_b 7.6606
_cell_length_c 18.7862
_cell_angle_alpha 90.00
_cell_angle_beta 90.00
_cell_angle_gamma 120.00
loop_
_atom_site_label
_atom_site_fract_x
_atom_site_fract_y
_atom_site_fract_z
Er1 0.0000 0.5000 0.0000
Tm1 0.0000 0.5000 0.5000
Sc1 0.0000 0.0000 0.5000
S1 0.0000 0.0000 0.2494
S2 0.0050 0.5025 0.2481
```